(1)
The following is a PBE-GGA calculation of an optimized crystal structure of Pr4CoNiBr2, from Alexandria via LeMat-Bulk.

The structure in POSCAR format:
```
Pr4CoNiBr2
1.0
7.064 0.000 0.000
0.000 4.072 0.000
-2.362 0.000 7.830
Pr Co Ni Br
4 1 1 2
Direct
0.226 0.000 0.193
0.264 0.500 0.807
0.736 0.500 0.193
0.774 0.000 0.807
0.000 0.500 0.000
0.500 0.000 0.000
0.000 0.000 0.500
0.500 0.500 0.500
```

## Properties
* SG: P2/m
* energy relative to the elements, uncorrected: -763 meV per atom
* volume: 225 Å³/cell

(2)
The following is a PBE-GGA calculation of an optimized crystal structure of Rb2CoNiBr6, from Alexandria via LeMat-Bulk.

The structure in POSCAR format:
```
Rb2CoNiBr6
1.0
0.000 5.174 5.174
5.174 0.000 5.174
5.174 5.174 0.000
Rb Co Ni Br
2 1 1 6
Direct
0.250 0.250 0.250
0.750 0.750 0.750
0.000 0.000 0.000
0.500 0.500 0.500
0.250 0.250 0.750
0.250 0.750 0.250
0.250 0.750 0.750
0.750 0.250 0.250
0.750 0.250 0.750
0.750 0.750 0.250
```

## Properties
* SG: Fm-3m
* energy relative to the elements, uncorrected: -824 meV per atom
* volume: 277 Å³/cell

(3)
The following is a PBE-GGA calculation of an optimized crystal structure of RbCo2NiBr8, from Alexandria via LeMat-Bulk.

The structure in POSCAR format:
```
RbCo2NiBr8
1.0
5.398 -3.669 0.000
5.398 3.669 0.000
-1.340 0.000 9.874
Rb Co Ni Br
1 2 1 8
Direct
0.000 0.000 0.000
0.385 0.385 0.699
0.615 0.615 0.301
0.000 0.000 0.500
0.224 0.736 0.310
0.236 0.236 0.504
0.264 0.776 0.690
0.314 0.314 0.910
0.686 0.686 0.090
0.736 0.224 0.310
0.764 0.764 0.496
0.776 0.264 0.690
```

## Properties
* SG: C2/m
* energy relative to the elements, uncorrected: -509 meV per atom
* volume: 391 Å³/cell

(4)
The following is a PBE-GGA calculation of an optimized crystal structure of CoNiSeBr2, from Alexandria via LeMat-Bulk.

The structure in POSCAR format:
```
CoNiSeBr2
1.0
5.018 0.000 0.000
0.000 5.018 0.000
0.000 0.000 4.457
Co Ni Se Br
1 1 1 2
Direct
0.000 0.000 0.000
0.500 0.500 0.500
0.000 0.000 0.500
0.000 0.500 0.000
0.500 0.000 0.000
```

## Properties
* SG: P4/mmm
* energy relative to the elements, uncorrected: 620 meV per atom
* volume: 112 Å³/cell

(5)
The following is a PBE-GGA calculation of an optimized crystal structure of CoNiSeBr2, from Alexandria via LeMat-Bulk.

The structure in POSCAR format:
```
CoNiSeBr2
1.0
4.805 0.000 0.000
0.000 4.805 0.000
0.000 0.000 4.875
Co Ni Se Br
1 1 1 2
Direct
0.000 0.000 0.000
0.500 0.500 0.500
0.500 0.500 0.000
0.000 0.500 0.500
0.500 0.000 0.500
```

## Properties
* SG: P4/mmm
* energy relative to the elements, uncorrected: 634 meV per atom
* volume: 113 Å³/cell

(6)
The following is a PBE-GGA calculation of an optimized crystal structure of Sm6CoNi2Br3, from Alexandria via LeMat-Bulk.

The structure in POSCAR format:
```
Sm6CoNi2Br3
1.0
3.467 -6.005 0.000
3.467 6.005 0.000
-2.312 0.000 7.679
Sm Co Ni Br
6 1 2 3
Direct
0.064 0.390 0.192
0.262 0.262 0.808
0.390 0.064 0.192
0.610 0.936 0.808
0.738 0.738 0.192
0.936 0.610 0.808
0.000 0.000 0.000
0.333 0.667 0.000
0.667 0.333 0.000
0.166 0.834 0.500
0.500 0.500 0.500
0.834 0.166 0.500
```

## Properties
* SG: C2/m
* energy relative to the elements, uncorrected: -796 meV per atom
* volume: 320 Å³/cell

(7)
The following is a PBE-GGA calculation of an optimized crystal structure of Sm8CoNi3Br4, from Alexandria via LeMat-Bulk.

The structure in POSCAR format:
```
Sm8CoNi3Br4
1.0
4.009 2.315 7.670
-4.009 2.315 7.670
0.000 -4.629 7.670
Sm Co Ni Br
8 1 3 4
Direct
0.231 0.231 0.231
0.236 0.728 0.728
0.272 0.272 0.764
0.272 0.764 0.272
0.728 0.236 0.728
0.728 0.728 0.236
0.764 0.272 0.272
0.769 0.769 0.769
0.500 0.500 0.500
0.000 0.000 0.500
0.000 0.500 0.000
0.500 0.000 0.000
0.000 0.000 0.000
0.000 0.500 0.500
0.500 0.000 0.500
0.500 0.500 0.000
```

## Properties
* SG: R-3m
* energy relative to the elements, uncorrected: -798 meV per atom
* volume: 427 Å³/cell

(8)
The following is a PBE-GGA calculation of an optimized crystal structure of Sm8Co3NiBr4, from Alexandria via LeMat-Bulk.

The structure in POSCAR format:
```
Sm8Co3NiBr4
1.0
6.873 -3.968 0.000
6.873 3.968 0.000
-4.587 0.000 7.705
Sm Co Ni Br
8 3 1 4
Direct
0.225 0.733 0.691
0.231 0.231 0.693
0.267 0.267 0.309
0.267 0.775 0.309
0.733 0.225 0.691
0.733 0.733 0.691
0.769 0.769 0.307
0.775 0.267 0.309
0.000 0.000 0.500
0.000 0.500 0.500
0.500 0.000 0.500
0.500 0.500 0.500
0.000 0.000 0.000
0.000 0.500 0.000
0.500 0.000 0.000
0.500 0.500 0.000
```

## Properties
* SG: C2/m
* energy relative to the elements, uncorrected: -759 meV per atom
* volume: 420 Å³/cell

(9)
The following is a PBE-GGA calculation of an optimized crystal structure of CoNiSnBr2, from Alexandria via LeMat-Bulk.

The structure in POSCAR format:
```
CoNiSnBr2
1.0
4.844 0.000 0.000
0.000 4.844 0.000
0.000 0.000 4.658
Co Ni Sn Br
1 1 1 2
Direct
0.000 0.000 0.000
0.000 0.000 0.500
0.500 0.500 0.500
0.000 0.500 0.000
0.500 0.000 0.000
```

## Properties
* SG: P4/mmm
* energy relative to the elements, uncorrected: 474 meV per atom
* volume: 109 Å³/cell

(10)
The following is a PBE-GGA calculation of an optimized crystal structure of CoNiTeBr2, from Alexandria via LeMat-Bulk.

The structure in POSCAR format:
```
CoNiTeBr2
1.0
4.691 0.000 0.000
0.000 4.691 0.000
0.000 0.000 5.116
Co Ni Te Br
1 1 1 2
Direct
0.000 0.000 0.000
0.000 0.000 0.500
0.500 0.500 0.500
0.000 0.500 0.000
0.500 0.000 0.000
```

## Properties
* SG: P4/mmm
* energy relative to the elements, uncorrected: 673 meV per atom
* volume: 113 Å³/cell

(11)
The following is a PBE-GGA calculation of an optimized crystal structure of TiCoNiBr2, from Alexandria via LeMat-Bulk.

The structure in POSCAR format:
```
TiCoNiBr2
1.0
4.647 0.000 0.000
0.000 4.647 0.000
0.000 0.000 4.510
Ti Co Ni Br
1 1 1 2
Direct
0.000 0.000 0.000
0.500 0.500 0.000
0.500 0.500 0.500
0.000 0.500 0.500
0.500 0.000 0.500
```

## Properties
* SG: P4/mmm
* energy relative to the elements, uncorrected: 873 meV per atom
* volume: 97 Å³/cell

(12)
The following is a PBE-GGA calculation of an optimized crystal structure of ZnCo2NiBr, from Alexandria via LeMat-Bulk.

The structure in POSCAR format:
```
ZnCo2NiBr
1.0
4.284 0.000 0.000
0.000 4.284 0.000
0.000 0.000 4.990
Zn Co Ni Br
1 2 1 1
Direct
0.000 0.000 0.000
0.000 0.500 0.500
0.500 0.000 0.500
0.500 0.500 0.000
0.000 0.000 0.500
```

## Properties
* SG: P4/mmm
* energy relative to the elements, uncorrected: 1366 meV per atom
* volume: 92 Å³/cell

(13)
The following is a PBE-GGA calculation of an optimized crystal structure of NpCo2Br8, from Alexandria via LeMat-Bulk.

The structure in POSCAR format:
```
NpCo2Br8
1.0
6.441 -4.978 0.000
6.441 4.978 0.000
-0.439 0.000 6.499
Np Co Br
1 2 8
Direct
0.000 0.000 0.000
0.186 0.186 0.653
0.814 0.814 0.347
0.100 0.710 0.232
0.177 0.177 0.279
0.290 0.900 0.768
0.358 0.358 0.758
0.642 0.642 0.242
0.710 0.100 0.232
0.823 0.823 0.721
0.900 0.290 0.768
```

## Properties
* SG: C2/m
* energy relative to the elements, uncorrected: -690 meV per atom
* volume: 417 Å³/cell

(14)
The following is a PBE-GGA calculation of an optimized crystal structure of NpCoBr2, from Alexandria via LeMat-Bulk.

The structure in POSCAR format:
```
NpCoBr2
1.0
1.761 1.017 8.975
-1.761 1.017 8.975
0.000 -2.033 8.975
Np Co Br
1 1 2
Direct
0.000 0.000 0.000
0.500 0.500 0.500
0.109 0.109 0.109
0.891 0.891 0.891
```

## Properties
* SG: R-3m
* energy relative to the elements, uncorrected: 118 meV per atom
* volume: 96 Å³/cell

(15)
The following is a PBE-GGA calculation of an optimized crystal structure of NpTlCo2Br8, from Alexandria via LeMat-Bulk.

The structure in POSCAR format:
```
NpTlCo2Br8
1.0
3.394 1.960 10.140
-3.394 1.960 10.140
0.000 -3.920 10.140
Np Tl Co Br
1 1 2 8
Direct
0.000 0.000 0.000
0.500 0.500 0.500
0.250 0.250 0.250
0.750 0.750 0.750
0.063 0.390 0.716
0.174 0.174 0.174
0.284 0.937 0.610
0.390 0.716 0.063
0.610 0.284 0.937
0.716 0.063 0.390
0.826 0.826 0.826
0.937 0.610 0.284
```

## Properties
* SG: R-3
* energy relative to the elements, uncorrected: -692 meV per atom
* volume: 405 Å³/cell